Record 1
{"formula": "LaEuSb2", "functional": "PBE-GGA", "state": "relaxed", "total_energy_ha_per_atom": -0.2515, "raw_formation_energy_ev_per_atom": -0.98, "de_polymorph_ev_per_atom": 0.080, "lattice": [[5.914, 0.000, 0.000], [0.000, 5.914, 0.000], [0.000, 0.000, 3.467]], "species": ["La", "Eu", "Sb", "Sb"], "frac_coords": [[0.000, 0.000, 0.000], [0.500, 0.500, 0.000], [0.000, 0.500, 0.500], [0.500, 0.000, 0.500]]}

=====

Record 2
{"formula": "La3PmNd6Sm2", "functional": "PBE-GGA", "state": "relaxed", "total_energy_ha_per_atom": -0.1758, "ef_ev_per_atom": 0.016, "lattice": [[3.195, -5.539, 0.000], [3.195, 5.539, 0.000], [-2.156, 0.000, 12.037]], "species": ["La", "La", "La", "Pm", "Nd", "Nd", "Nd", "Nd", "Nd", "Nd", "Sm", "Sm"], "frac_coords": [[0.000, 0.000, 0.000], [0.333, 0.667, 0.000], [0.667, 0.333, 0.000], [0.500, 0.500, 0.500], [0.084, 0.418, 0.253], [0.249, 0.249, 0.747], [0.418, 0.084, 0.253], [0.582, 0.916, 0.747], [0.751, 0.751, 0.253], [0.916, 0.582, 0.747], [0.167, 0.833, 0.500], [0.833, 0.167, 0.500]]}

=====

Record 3
{"formula": "PrTe2S6", "functional": "PBE-GGA", "state": "relaxed", "total_energy_ha_per_atom": -0.1637, "raw_formation_energy_ev_per_atom": -0.47, "lattice": [[6.695, 0.000, 0.000], [0.384, 8.452, 0.000], [1.822, 0.309, 8.296]], "species": ["Pr", "Pr", "Te", "Te", "Te", "Te", "S", "S", "S", "S", "S", "S", "S", "S", "S", "S", "S", "S"], "frac_coords": [[0.185, 0.428, 0.197], [0.815, 0.572, 0.803], [0.320, 0.824, 0.921], [0.356, 0.874, 0.405], [0.644, 0.126, 0.595], [0.680, 0.176, 0.079], [0.006, 0.289, 0.957], [0.040, 0.386, 0.540], [0.239, 0.055, 0.213], [0.268, 0.060, 0.630], [0.422, 0.648, 0.700], [0.494, 0.670, 0.106], [0.506, 0.330, 0.894], [0.578, 0.352, 0.300], [0.732, 0.940, 0.370], [0.761, 0.945, 0.787], [0.960, 0.614, 0.460], [0.994, 0.711, 0.043]]}

=====

Record 4
{"formula": "Ca2TmMg6", "functional": "PBE-GGA", "state": "relaxed", "total_energy_ha_per_atom": -0.0751, "ef_ev_per_atom": -0.039, "lattice": [[9.111, 0.000, 0.000], [-4.555, 7.890, 0.000], [0.000, 0.000, 3.474]], "species": ["Ca", "Ca", "Tm", "Mg", "Mg", "Mg", "Mg", "Mg", "Mg"], "frac_coords": [[0.333, 0.667, 0.000], [0.667, 0.333, 0.000], [0.000, 0.000, 0.000], [0.000, 0.328, 0.500], [0.000, 0.672, 0.500], [0.328, 0.000, 0.500], [0.328, 0.328, 0.500], [0.672, 0.000, 0.500], [0.672, 0.672, 0.500]]}

=====

Record 5
{"formula": "La3GaHg", "functional": "PBE-GGA", "state": "relaxed", "total_energy_ha_per_atom": -0.1482, "ef_ev_per_atom": -0.410, "de_polymorph_ev_per_atom": 0.000, "lattice": [[8.556, -4.924, 0.000], [8.556, 4.924, 0.000], [-0.026, 0.000, 7.219]], "species": ["La", "La", "La", "La", "La", "La", "La", "La", "La", "La", "La", "La", "Ga", "Ga", "Ga", "Ga", "Hg", "Hg", "Hg", "Hg"], "frac_coords": [[0.045, 0.233, 0.502], [0.187, 0.688, 0.999], [0.233, 0.045, 0.002], [0.312, 0.813, 0.501], [0.325, 0.370, 0.499], [0.370, 0.325, 0.999], [0.630, 0.675, 0.001], [0.675, 0.630, 0.501], [0.688, 0.187, 0.499], [0.767, 0.955, 0.998], [0.813, 0.312, 0.001], [0.955, 0.767, 0.498], [0.000, 0.000, 0.250], [0.000, 0.000, 0.750], [0.500, 0.500, 0.250], [0.500, 0.500, 0.750], [0.001, 0.498, 0.204], [0.498, 0.001, 0.704], [0.502, 0.999, 0.296], [0.999, 0.502, 0.796]]}

=====

Record 6
{"formula": "TaCr3Pb", "functional": "PBE-GGA", "state": "relaxed", "total_energy_ha_per_atom": -0.2735, "ef_ev_per_atom": 1.444, "de_polymorph_ev_per_atom": 0.000, "lattice": [[4.794, 0.000, 0.000], [0.000, 4.794, 0.000], [0.000, 0.000, 4.794]], "species": ["Ta", "Cr", "Cr", "Cr", "Pb"], "frac_coords": [[0.000, 0.000, 0.000], [0.000, 0.000, 0.500], [0.000, 0.500, 0.000], [0.500, 0.000, 0.000], [0.500, 0.500, 0.500]]}

=====

Record 7
{"formula": "PrLu3Os", "functional": "PBE-GGA", "state": "relaxed", "total_energy_ha_per_atom": -0.2201, "ef_ev_per_atom": -0.075, "lattice": [[5.343, 0.000, 0.000], [0.000, 5.343, 0.000], [0.000, 0.000, 5.343]], "species": ["Pr", "Lu", "Lu", "Lu", "Os"], "frac_coords": [[0.000, 0.000, 0.000], [0.000, 0.500, 0.500], [0.500, 0.000, 0.500], [0.500, 0.500, 0.000], [0.500, 0.500, 0.500]]}

=====

Record 8
{"formula": "Pr2Mg15Cd2", "functional": "PBE-GGA", "state": "relaxed", "total_energy_ha_per_atom": -0.0717, "ef_ev_per_atom": -0.091, "lattice": [[5.120, 2.956, 5.067], [-5.120, 2.956, 5.067], [0.000, -5.912, 5.067]], "species": ["Pr", "Pr", "Mg", "Mg", "Mg", "Mg", "Mg", "Mg", "Mg", "Mg", "Mg", "Mg", "Mg", "Mg", "Mg", "Mg", "Mg", "Cd", "Cd"], "frac_coords": [[0.173, 0.173, 0.173], [0.827, 0.827, 0.827], [0.000, 0.500, 0.500], [0.148, 0.148, 0.659], [0.148, 0.659, 0.148], [0.200, 0.500, 0.800], [0.200, 0.800, 0.500], [0.341, 0.852, 0.852], [0.500, 0.000, 0.500], [0.500, 0.200, 0.800], [0.500, 0.500, 0.000], [0.500, 0.800, 0.200], [0.659, 0.148, 0.148], [0.800, 0.200, 0.500], [0.800, 0.500, 0.200], [0.852, 0.341, 0.852], [0.852, 0.852, 0.341], [0.401, 0.401, 0.401], [0.599, 0.599, 0.599]]}

=====

Record 9
{"formula": "AlV3Ge", "functional": "PBE-GGA", "state": "relaxed", "total_energy_ha_per_atom": -0.2333, "ef_ev_per_atom": 0.796, "de_polymorph_ev_per_atom": 0.996, "lattice": [[4.517, 0.000, 0.000], [0.000, 4.517, 0.000], [0.000, 0.000, 4.517]], "species": ["Al", "V", "V", "V", "Ge"], "frac_coords": [[0.000, 0.000, 0.000], [0.000, 0.500, 0.500], [0.500, 0.000, 0.500], [0.500, 0.500, 0.000], [0.500, 0.500, 0.500]]}

=====

Record 10
{"formula": "SrCaCl4", "functional": "PBE-GGA", "state": "relaxed", "total_energy_ha_per_atom": -0.1024, "raw_formation_energy_ev_per_atom": -0.94, "lattice": [[0.000, 4.333, 4.333], [4.333, 0.000, 4.333], [4.333, 4.333, 0.000]], "species": ["Sr", "Ca", "Cl", "Cl", "Cl", "Cl"], "frac_coords": [[0.000, 0.000, 0.000], [0.750, 0.750, 0.750], [0.375, 0.375, 0.375], [0.375, 0.375, 0.875], [0.375, 0.875, 0.375], [0.875, 0.375, 0.375]]}

=====

Size of the total moment, respectively: 6.74 0.00 0.00 0.00 0.00 8.18 0.00 0.00 3.72 0.00 Bohr magnetons per cell.